## one
DFT (GGA-PBE) results for crystalline Zn2CdSb2 at its relaxed geometry.

Calculated values
Space group: No. 139
Density of states at the Fermi level in states/eV per atom: 0.376

Lattice parameters (Å, degrees): 8.2602 8.2602 8.2602 152.24 152.24 39.66
Sites, in units of the cell vectors:
Zn: 0.2500 0.7500 0.5000
Zn: 0.7500 0.2500 0.5000
Cd: 0.0000 0.0000 0.0000
Sb: 0.3759 0.3759 0.0000
Sb: 0.6241 0.6241 0.0000

## two
DFT (GGA-PBE) results for crystalline Zn2CdSb2 at its relaxed geometry.

Calculated values
Space group: No. 127
Density of states at the Fermi level in states/eV per atom: 0.578

Lattice parameters (Å, degrees): 7.4103 7.4103 4.0532 90.00 90.00 90.00
Sites, in units of the cell vectors:
Zn: 0.1209 0.3791 0.0000
Zn: 0.3791 0.8791 0.0000
Zn: 0.6209 0.1209 0.0000
Zn: 0.8791 0.6209 0.0000
Cd: 0.0000 0.0000 0.0000
Cd: 0.5000 0.5000 0.0000
Sb: 0.1884 0.6884 0.5000
Sb: 0.3116 0.1884 0.5000
Sb: 0.6884 0.8116 0.5000
Sb: 0.8116 0.3116 0.5000

Relative to the most stable structure, the computed energies are one 0.000; two 0.071, all in eV/atom.